1.
A geometry-optimized Al3ZnRe structure. Source: Alexandria via LeMat-Bulk, functional PBEsol.

Cell: 4.431 4.431 4.431 Å, 90.00 90.00 90.00°
Last column: magnetic moment on the atom in μB.
Atoms (fractional coordinates):
Re 0.500 0.500 0.500  1.24
Zn 0.000 0.000 0.000  0.03
Al 0.000 0.500 0.000  -0.01
Al 0.000 0.000 0.500  -0.01
Al 0.500 0.000 0.000  -0.01

The value obtained for the size of the total moment is 1.39 μB/f.u. Its energy relative to the elements is 1232 meV per atom.


2.
A geometry-optimized Be3TePb structure. Source: Alexandria via LeMat-Bulk, functional PBEsol.

Cell: 4.693 4.693 4.693 Å, 90.00 90.00 90.00°
Atoms (fractional coordinates):
Pb 0.000 0.000 0.000
Be 0.000 0.500 0.000
Be 0.000 0.000 0.500
Be 0.500 0.000 0.000
Te 0.500 0.500 0.500

The value obtained for the size of the total moment is 0.00 μB/f.u. Its formation energy from raw total energies is 1.04 eV/atom.


3.
A geometry-optimized SrZn3Br structure. Source: Alexandria via LeMat-Bulk, functional PBEsol.

Cell: 5.286 5.286 5.286 Å, 90.00 90.00 90.00°
Atoms (fractional coordinates):
Sr 0.500 0.500 0.500
Zn 0.000 0.500 0.000
Zn 0.000 0.000 0.500
Zn 0.500 0.000 0.000
Br 0.000 0.000 0.000

The value obtained for the size of the total moment is 0.00 μB/f.u. Its formation energy from raw total energies is 0.39 eV/atom.


4.
A geometry-optimized HgAu structure. Source: Alexandria via LeMat-Bulk, functional PBEsol.

Cell: 3.011 3.011 9.597 Å, 90.00 90.00 120.00°
Atoms (fractional coordinates):
Au 0.667 0.333 0.750
Au 0.333 0.667 0.250
Hg 0.000 0.000 0.000
Hg 0.000 0.000 0.500

The value obtained for the size of the total moment is 0.00 μB/f.u. Its energy relative to the elements is 71 meV per atom.


5.
A geometry-optimized FeAgP3 structure. Source: Alexandria via LeMat-Bulk, functional PBEsol.

Cell: 4.683 4.683 4.683 Å, 90.00 90.00 90.00°
Last column: magnetic moment on the atom in μB.
Atoms (fractional coordinates):
P 0.000 0.500 0.000  -0.04
P 0.000 0.000 0.500  -0.04
P 0.500 0.000 0.000  -0.04
Fe 0.500 0.500 0.500  3.34
Ag 0.000 0.000 0.000  0.00

The value obtained for the size of the total moment is 3.24 μB/f.u. Its energy relative to the elements is 1579 meV per atom.


6.
A geometry-optimized Cs2CaWO structure. Source: Alexandria via LeMat-Bulk, functional PBEsol.

Cell: 3.818 7.577 7.577 Å, 90.00 90.00 90.00°
Last column: magnetic moment on the atom in μB.
Atoms (fractional coordinates):
Cs 0.000 0.000 0.500  -0.01
Cs 0.000 0.500 0.000  -0.01
Ca 0.500 0.500 0.500  -0.06
O 0.500 0.000 0.000  -0.09
W 0.000 0.000 0.000  1.89

The value obtained for the size of the total moment is 1.91 μB/f.u. Its formation energy from raw total energies is 0.36 eV/atom.


7.
A geometry-optimized ZrSc2Tl structure. Source: Alexandria via LeMat-Bulk, functional PBEsol.

Cell: 3.307 3.307 8.205 Å, 90.00 90.00 90.00°
Atoms (fractional coordinates):
Sc 0.000 0.000 0.755
Sc 0.000 0.000 0.245
Tl 0.500 0.500 0.000
Zr 0.500 0.500 0.500

The value obtained for the size of the total moment is 0.00 μB/f.u. Its energy relative to the elements is -208 meV per atom.


8.
A geometry-optimized Ba2LaZnF structure. Source: Alexandria via LeMat-Bulk, functional PBEsol.

Cell: 5.070 5.377 5.377 Å, 90.00 90.00 90.00°
Atoms (fractional coordinates):
Zn 0.500 0.500 0.500
F 0.000 0.000 0.000
Ba 0.000 0.000 0.500
Ba 0.000 0.500 0.000
La 0.500 0.000 0.000

The value obtained for the size of the total moment is 0.00 μB/f.u. Its formation energy from raw total energies is -0.93 eV/atom.


9.
A geometry-optimized ZrCdAg2 structure. Source: Alexandria via LeMat-Bulk, functional PBEsol.

Cell: 2.967 2.967 9.900 Å, 81.38 81.38 60.00°
Atoms (fractional coordinates):
Zr 0.000 0.000 0.000
Ag 0.249 0.249 0.254
Ag 0.751 0.751 0.746
Cd 0.500 0.500 0.500

The value obtained for the size of the total moment is 0.00 μB/f.u. Its energy relative to the elements is -18 meV per atom.


10.
A geometry-optimized TcMoPt2 structure. Source: Alexandria via LeMat-Bulk, functional PBEsol.

Cell: 4.387 4.387 4.387 Å, 60.00 60.00 60.00°
Atoms (fractional coordinates):
Mo 0.500 0.500 0.500
Pt 0.000 0.000 0.000
Pt 0.750 0.750 0.750
Tc 0.250 0.250 0.250

The value obtained for the size of the total moment is 0.00 μB/f.u. Its energy relative to the elements is 100 meV per atom.


11.
A geometry-optimized SrPbSe2 structure. Source: Alexandria via LeMat-Bulk, functional PBEsol.

Cell: 4.132 4.557 6.248 Å, 90.00 109.31 90.00°
Atoms (fractional coordinates):
Pb 0.243 0.000 0.487
Sr 0.489 0.500 0.977
Se 0.011 0.000 0.022
Se 0.757 0.500 0.514

The value obtained for the size of the total moment is 0.00 μB/f.u. Its formation energy from raw total energies is -1.25 eV/atom.


12.
A geometry-optimized Sc3TaPd structure. Source: Alexandria via LeMat-Bulk, functional PBEsol.

Cell: 4.934 4.934 4.934 Å, 90.00 90.00 90.00°
Atoms (fractional coordinates):
Sc 0.000 0.500 0.000
Sc 0.000 0.000 0.500
Sc 0.500 0.000 0.000
Pd 0.500 0.500 0.500
Ta 0.000 0.000 0.000

The value obtained for the size of the total moment is 0.00 μB/f.u. Its energy relative to the elements is 786 meV per atom.


Q: Which formula does entry 7 have?
A: ZrSc2Tl